A geometry-optimized Mo4PRu structure, computed with PBE-GGA.

The structure in extended XYZ format:
```
6
Lattice="0.000 3.641 3.641 3.641 0.000 3.641 3.641 3.641 0.000" Properties=species:S:1:pos:R:3 pbc="T T T"
Mo 2.738 2.738 2.738
Mo 4.545 4.545 2.738
Mo 4.545 2.738 4.545
Mo 2.738 4.545 4.545
P 5.462 5.462 5.462
Ru 0.000 0.000 0.000
```

Space-group type = F-43m
ΔH_f (0 K) = 3.9 eV/f.u.
Magnetic moment = 0.000 μB/f.u.
DFT total energy = -9.023 eV/atom
DOS(E_F) = 1.22 states/eV per atom